The following is a DFT calculation (PBE-GGA) of a geometry-optimized SrBeRhO4 structure.

Results
Total DFT energy (no corrections) in eV per atom: -6.2258
ΔE_f (raw) in meV/atom: -1570

Cell lengths 6.1835, 9.1147, 6.5983 Å; angles 90.00, 90.00, 90.00 degrees
Closest atoms and distances in Å follow each position.
Space group Cmcm (No. 63)
Asymmetric unit:
Sr: 0.0000 0.0000 0.0000 x4  6 O 2.48-2.56
Be: 0.0000 0.3745 0.2500 x4  4 O 1.65-1.66
Rh: 0.0000 0.3389 0.7500 x4  4 O 1.96
O: 0.0000 0.2802 0.0350 x8  1 Be 1.66
O: 0.2011 0.4942 0.2500 x8  1 Be 1.65